(1)
Below is a relaxed structure of LiSnOsAu2, with properties calculated at the PBE level.

Lattice parameters (Å, degrees): 5.034 5.034 4.629 90.00 90.00 90.00
Sites, in units of the cell vectors:
1 Li 0.000 0.000 0.000
2 Sn 0.500 0.500 0.000
3 Os 0.000 0.000 0.500
4 Au 0.000 0.500 0.500
5 Au 0.500 0.000 0.500

Output
The density of states at the Fermi level is 1.137 states/eV/atom. Its formation energy is 19.3 kcal/mol of atoms. As for the space-group type: No. 123. The calculation puts the mass density at 10.0 g/cm³. The total moment is 0.0 μB per formula unit.



(2)
Below is a relaxed structure of LiVOsAu2, with properties calculated at the PBE level.

Lattice parameters (Å, degrees): 5.182 5.182 4.392 90.00 90.00 90.00
Sites, in units of the cell vectors:
1 Li 0.000 0.000 0.000
2 V 0.500 0.500 0.000
3 Os 0.500 0.500 0.500
4 Au 0.000 0.500 0.500
5 Au 0.500 0.000 0.500

Output
The density of states at the Fermi level is 1.100 states/eV/atom. Its formation energy is 17.9 kcal/mol of atoms. As for the space-group type: No. 123. The calculation puts the mass density at 9.0 g/cm³. The total moment is 0.4 μB per formula unit.



(3)
Below is a relaxed structure of Li2PAu, with properties calculated at the PBE level.

Lattice parameters (Å, degrees): 4.901 4.901 6.810 105.11 105.11 69.97
Sites, in units of the cell vectors:
1 Li 0.124 0.270 0.124
2 Li 0.270 0.124 0.624
3 Li 0.730 0.876 0.376
4 Li 0.876 0.730 0.876
5 P 0.202 0.798 0.250
6 P 0.798 0.202 0.750
7 Au 0.500 0.500 0.000
8 Au 0.500 0.500 0.500

Output
The density of states at the Fermi level is 0.115 states/eV/atom. Its formation energy is -13.8 kcal/mol of atoms. As for the space-group type: No. 15. The calculation puts the mass density at 5.5 g/cm³. The total moment is 0.0 μB per formula unit.



(4)
Below is a relaxed structure of Li3PAu, with properties calculated at the PBE level.

Lattice parameters (Å, degrees): 4.710 4.710 4.710 90.00 90.00 90.00
Sites, in units of the cell vectors:
1 Li 0.000 0.000 0.500
2 Li 0.000 0.500 0.000
3 Li 0.500 0.000 0.000
4 P 0.500 0.500 0.500
5 Au 0.000 0.000 0.000

Output
The density of states at the Fermi level is 0.298 states/eV/atom. Its formation energy is 0.9 kcal/mol of atoms. As for the space-group type: No. 221. The calculation puts the mass density at 4.0 g/cm³. The total moment is 1.0 μB per formula unit.



(5)
Below is a relaxed structure of Li8P2Au, with properties calculated at the PBE level.

Lattice parameters (Å, degrees): 7.212 7.212 7.212 145.88 128.22 63.48
Sites, in units of the cell vectors:
1 Li 0.118 0.336 0.782
2 Li 0.163 0.163 0.000
3 Li 0.298 0.000 0.298
4 Li 0.445 0.664 0.782
5 Li 0.555 0.336 0.218
6 Li 0.702 0.000 0.702
7 Li 0.837 0.837 0.000
8 Li 0.882 0.664 0.218
9 P 0.317 0.817 0.500
10 P 0.683 0.183 0.500
11 Au 0.000 0.500 0.500

Output
The density of states at the Fermi level is 0.267 states/eV/atom. Its formation energy is -13.1 kcal/mol of atoms. As for the space-group type: No. 71. The calculation puts the mass density at 3.2 g/cm³. The total moment is 0.0 μB per formula unit.



(6)
Below is a relaxed structure of Li2PAu, with properties calculated at the PBE level.

Lattice parameters (Å, degrees): 8.937 2.859 2.859 59.63 90.00 90.00
Sites, in units of the cell vectors:
1 Li 0.211 0.000 0.000
2 Li 0.789 0.000 0.000
3 P 0.000 0.333 0.333
4 Au 0.500 0.000 0.000

Output
The density of states at the Fermi level is 0.353 states/eV/atom. Its formation energy is -5.9 kcal/mol of atoms. As for the space-group type: No. 38. The calculation puts the mass density at 6.4 g/cm³. The total moment is 0.0 μB per formula unit.